Compound: K3Sc2AlO6
Source: Alexandria
Functional: PBE-GGA
Structure: relaxed

## Properties
VASP energy = -80.4 eV/cell
Uncorrected formation energy = -2.579 eV per atom
M_tot = 0.0 μB per formula unit
Crystal system = monoclinic

abc: 5.475 5.475 6.390
angles: 98.22 98.22 119.99
Element x y z (fractional)
1 K 0.167 0.833 0.500
2 K 0.833 0.167 0.500
3 K 0.500 0.500 0.500
4 Sc 0.333 0.667 0.000
5 Sc 0.667 0.333 0.000
6 Al 0.000 0.000 0.000
7 O 0.942 0.629 0.827
8 O 0.744 0.744 0.173
9 O 0.058 0.371 0.173
10 O 0.629 0.942 0.827
11 O 0.256 0.256 0.827
12 O 0.371 0.058 0.173